DFT (PBE) results for a relaxed TlP4H7 crystal.

The calculation puts the total energy at -47.26 eV for the cell shown. Its total magnetization is 0.00 μB per formula unit.

The structure belongs to space group P1 (No. 1); the cell edges are 4.863, 5.464 and 8.247 Å and the angles 104.27°, 90.57° and 99.26°. The distinct sites, in fractional coordinates, are Tl at (0.000, 0.000, 0.000), P at (0.070, 0.638, 0.638), P at (0.545, 0.250, 0.919), P at (0.657, 0.095, 0.434), P at (0.936, 0.422, 0.374), H at (0.131, 0.422, 0.692), H at (0.354, 0.719, 0.604), H at (0.449, 0.228, 0.519), H at (0.502, 0.025, 0.276), H at (0.564, 0.426, 0.081), H at (0.606, 0.452, 0.835) and H at (0.733, 0.577, 0.356).